The following is a DFT calculation (PBE) of a geometry-optimized Y8Si3Te3Se structure.

Unit cell a=8.478 b=8.478 c=8.478 alpha=59.16 beta=59.16 gamma=59.16
Fractional positions:
Y  0.228  0.749  0.749
Y  0.240  0.240  0.240
Y  0.251  0.251  0.772
Y  0.251  0.772  0.251
Y  0.749  0.228  0.749
Y  0.749  0.749  0.228
Y  0.760  0.760  0.760
Y  0.772  0.251  0.251
Si  0.000  0.000  0.500
Si  0.000  0.500  0.000
Si  0.500  0.000  0.000
Te  0.000  0.500  0.500
Te  0.500  0.000  0.500
Te  0.500  0.500  0.000
Se  0.500  0.500  0.500

VASP energy (eV per atom): -6.52
Formation energy (no corrections) (meV per atom): -1124